# LaY2Tc (GGA-PBE, relaxed)
# calculated volume = 103.0 Å³/f.u.
# SG = Cmmm, No. 65
# E_form = 0.343 eV/atom
# energy = -26.85 eV/f.u.
data_LaY2Tc
_chemical_formula_sum 'La1 Y2 Tc1'
_space_group_name_H-M_alt 'P 1'
_space_group_IT_number 1
_space_group_name_Hall 'P 1'
_cell_length_a 5.178
_cell_length_b 5.178
_cell_length_c 3.931
_cell_angle_alpha 90.00
_cell_angle_beta 90.00
_cell_angle_gamma 102.05
loop_
_atom_site_label
_atom_site_type_symbol
_atom_site_fract_x
_atom_site_fract_y
_atom_site_fract_z
La1 La 0.000 0.000 0.000
Y1 Y 0.000 0.500 0.500
Y2 Y 0.500 0.000 0.500
Tc1 Tc 0.500 0.500 0.000